Entry 1:
Entry from Alexandria: a geometry-optimized YHo2InO structure (PBE-GGA).

Computed properties:
Total energy   -6.0875 eV per atom
Uncorrected formation energy   -1.424 eV/atom

Cell lengths 4.7470, 4.7470, 4.8146 Å; angles 90.00, 90.00, 90.00 degrees
With the nearest neighbours (Å) after each atom.
Space group P4/mmm (No. 123)
Symmetry-distinct sites (fractional):
Y (0.0000, 0.0000, 0.0000) (multiplicity 1)  2 O 2.41
Ho (0.0000, 0.5000, 0.5000) (multiplicity 2)  2 O 2.37
In (0.5000, 0.5000, 0.0000) (multiplicity 1)  4 Y 3.36, 8 Ho 3.38
O (0.0000, 0.0000, 0.5000) (multiplicity 1)  4 Ho 2.37, 2 Y 2.41

***

Entry 2:
Entry from Alexandria: a geometry-optimized Y2HoInO structure (PBE-GGA).

Computed properties:
Total energy   -6.4689 eV per atom
Uncorrected formation energy   -1.428 eV/atom

Cell lengths 4.8060, 4.8060, 4.7402 Å; angles 90.00, 90.00, 90.00 degrees
With the nearest neighbours (Å) after each atom.
Space group P4/mmm (No. 123)
Symmetry-distinct sites (fractional):
Y (0.0000, 0.5000, 0.0000) (multiplicity 2)  2 O 2.40
Ho (0.0000, 0.0000, 0.5000) (multiplicity 1)  2 O 2.37
In (0.5000, 0.5000, 0.5000) (multiplicity 1)  8 Y 3.38, 4 Ho 3.40
O (0.0000, 0.0000, 0.0000) (multiplicity 1)  2 Ho 2.37, 4 Y 2.40

***

Entry 3:
Entry from Alexandria: a geometry-optimized Ho6InOs structure (PBE-GGA).

Computed properties:
Total energy   -5.2777 eV per atom
Energy above the lowest structure with this stoichiometry   0 meV per atom

Cell lengths 4.9771, 4.9771, 17.5233 Å; angles 90.00, 90.00, 90.00 degrees
With the nearest neighbours (Å) after each atom.
Space group I4/mmm (No. 139)
Symmetry-distinct sites (fractional):
Ho (0.0000, 0.0000, 0.2478) (multiplicity 4)  12 Ho 3.52-3.63
Ho (0.0000, 0.5000, 0.1015) (multiplicity 8)  2 In 3.06, 2 Os 3.06
In (0.0000, 0.0000, 0.0000) (multiplicity 2)  8 Ho 3.06
Os (0.0000, 0.0000, 0.5000) (multiplicity 2)  8 Ho 3.06

***

Entry 4:
Entry from Alexandria: a geometry-optimized Ho2InOs structure (PBE-GGA).

Computed properties:
Total energy   -6.1632 eV per atom
Energy above the lowest structure with this stoichiometry   0 meV per atom

Cell lengths 3.4151, 3.4151, 7.9817 Å; angles 90.00, 90.00, 90.00 degrees
With the nearest neighbours (Å) after each atom.
Space group P4/mmm (No. 123)
Symmetry-distinct sites (fractional):
Ho (0.0000, 0.0000, 0.2060) (multiplicity 2)  4 Os 2.92
In (0.5000, 0.5000, 0.5000) (multiplicity 1)  8 Ho 3.37, 4 In 3.42
Os (0.5000, 0.5000, 0.0000) (multiplicity 1)  8 Ho 2.92

***

Computed values of magnetic moment (unit: μB per atom) for the preceding records, in sequence: 0.0000 0.0000 0.0009 0.0000.